No. 1
Density functional theory data (PBE) for crystalline MgPa2TlO8 at its relaxed geometry.

a b c (Å): 6.0781 6.0781 5.6985
angles (deg): 90.00 90.00 120.00
Closest atoms and distances in Å follow each position.
Positions (direct):
O (0.7020, 0.0537, 0.8204)  1 Tl 2.24, 2 Pa 2.35-2.39
O (0.9463, 0.6483, 0.8204)  1 Tl 2.24, 2 Pa 2.35-2.39
O (0.0537, 0.3517, 0.1796)  1 Tl 2.24, 2 Pa 2.35-2.39
O (0.6667, 0.3333, 0.4246)  1 Pa 1.89
O (0.3333, 0.6667, 0.5754)  1 Pa 1.89
O (0.3517, 0.2980, 0.8204)  1 Tl 2.24, 2 Pa 2.35-2.39
O (0.2980, 0.9463, 0.1796)  1 Tl 2.24, 2 Pa 2.35-2.39
O (0.6483, 0.7020, 0.1796)  1 Tl 2.24, 2 Pa 2.35-2.39
Tl (0.0000, 0.0000, 0.0000)  6 O 2.24
Pa (0.6667, 0.3333, 0.0932)  1 O 1.89
Pa (0.3333, 0.6667, 0.9068)  1 O 1.89
Mg (0.0000, 0.0000, 0.5000)  6 O 2.70, 2 Tl 2.85



No. 2
Density functional theory data (PBE) for crystalline Mg2PaTlO6 at its relaxed geometry.

a b c (Å): 5.5294 5.5293 5.8506
angles (deg): 61.80 61.80 59.99
Closest atoms and distances in Å follow each position.
Positions (direct):
Mg (0.5177, 0.5177, 0.4470)  6 O 2.08-2.22
Mg (0.0232, 0.0231, 0.9305)  6 O 2.07-2.27
O (0.8859, 0.6380, 0.2547)  2 Mg 2.08-2.27, 1 Pa 2.23, 1 Tl 2.24
O (0.1233, 0.4008, 0.7407)  2 Mg 2.07-2.22, 1 Pa 2.17
O (0.2213, 0.8859, 0.2547)  2 Mg 2.08-2.27, 1 Pa 2.23, 1 Tl 2.24
O (0.6380, 0.2213, 0.2548)  2 Mg 2.08-2.27, 1 Pa 2.23, 1 Tl 2.24
O (0.4009, 0.7351, 0.7406)  2 Mg 2.07-2.22, 1 Pa 2.17
O (0.7351, 0.1234, 0.7407)  2 Mg 2.07-2.22, 1 Pa 2.17
Pa (0.8111, 0.8111, 0.5668)  6 O 2.17-2.23
Tl (0.3051, 0.3051, 0.0847)  6 O 2.24-2.39



No. 3
Density functional theory data (PBE) for crystalline MgPaTl2O8 at its relaxed geometry.

a b c (Å): 6.2039 6.2039 6.2039
angles (deg): 112.54 112.54 103.50
Closest atoms and distances in Å follow each position.
Positions (direct):
Tl (0.7500, 0.2500, 0.5000)  4 O 2.17
Tl (0.5000, 0.5000, 0.0000)  4 O 2.11
O (0.9076, 0.7087, 0.1989)  1 Pa 2.10, 1 Tl 2.11
O (0.2913, 0.4902, 0.1989)  1 Pa 2.10, 1 Tl 2.11
O (0.7272, 0.0294, 0.6978)  1 Mg 2.09, 1 Tl 2.17
O (0.2913, 0.0924, 0.8011)  1 Pa 2.10, 1 Tl 2.11
O (0.3317, 0.0294, 0.3022)  1 Mg 2.09, 1 Tl 2.17
O (0.9706, 0.2728, 0.3022)  1 Mg 2.09, 1 Tl 2.17
O (0.9706, 0.6683, 0.6978)  1 Mg 2.09, 1 Tl 2.17
O (0.5098, 0.7087, 0.8011)  1 Pa 2.10, 1 Tl 2.11
Pa (0.2500, 0.7500, 0.5000)  4 O 2.10
Mg (0.0000, 0.0000, 0.0000)  4 O 2.09



No. 4
Density functional theory data (PBE) for crystalline MgPaTlO4 at its relaxed geometry.

a b c (Å): 6.5227 6.9103 7.3199
angles (deg): 121.98 90.00 118.16
Closest atoms and distances in Å follow each position.
Positions (direct):
Pa (0.5000, 0.0000, 0.5000)  6 O 2.12-2.27
Pa (0.5000, 0.0000, 0.0000)  6 O 2.12-2.27
Mg (0.5000, 0.5000, 0.5000)  6 O 2.16-2.38
Mg (0.0000, 0.5000, 0.5000)  6 O 2.16-2.38
O (0.3033, 0.0157, 0.2578)  2 Pa 2.27, 1 Mg 2.38, 1 Tl 2.52
O (0.2872, 0.5745, 0.3510)  1 Pa 2.12, 2 Mg 2.16
O (0.7128, 0.4255, 0.2765)  1 Pa 2.12, 2 Mg 2.16
O (0.7128, 0.4255, 0.6490)  1 Pa 2.12, 2 Mg 2.16
O (0.7123, 0.0157, 0.2578)  2 Pa 2.27, 1 Mg 2.38, 1 Tl 2.52
O (0.6967, 0.9843, 0.7422)  2 Pa 2.27, 1 Mg 2.38, 1 Tl 2.52
O (0.2877, 0.9843, 0.7422)  2 Pa 2.27, 1 Mg 2.38, 1 Tl 2.52
O (0.2872, 0.5745, 0.7235)  1 Pa 2.12, 2 Mg 2.16
Tl (0.1589, 0.3179, 0.9089)  4 O 2.52-2.61
Tl (0.8411, 0.6821, 0.0911)  4 O 2.52-2.61



No. 5
Density functional theory data (PBE) for crystalline Mg2UPaO8 at its relaxed geometry.

a b c (Å): 4.7244 4.7253 7.0265
angles (deg): 90.00 90.00 91.06
Closest atoms and distances in Å follow each position.
Positions (direct):
O (0.3098, 0.3094, 0.5000)  1 Pa 2.05, 2 Mg 2.18
O (0.1924, 0.8071, 0.7571)  1 Mg 2.07, 1 U 2.14, 1 Pa 2.23
O (0.8076, 0.1929, 0.2429)  1 Mg 2.07, 1 U 2.14, 1 Pa 2.23
O (0.6902, 0.6906, 0.5000)  1 Pa 2.05, 2 Mg 2.18
O (0.7013, 0.7018, 0.0000)  1 U 1.98, 2 Mg 2.19
O (0.1925, 0.8071, 0.2429)  1 Mg 2.07, 1 U 2.14, 1 Pa 2.23
O (0.2987, 0.2982, 0.0000)  1 U 1.98, 2 Mg 2.19
O (0.8075, 0.1929, 0.7571)  1 Mg 2.07, 1 U 2.14, 1 Pa 2.23
U (0.0000, 0.0000, 0.0000)  6 O 1.98-2.14
Pa (0.0000, 0.0000, 0.5000)  6 O 2.05-2.23
Mg (0.5000, 0.5000, 0.2472)  6 O 2.07-2.19
Mg (0.5000, 0.5000, 0.7528)  6 O 2.07-2.19



No. 6
Density functional theory data (PBE) for crystalline MgUPaO6 at its relaxed geometry.

a b c (Å): 5.4408 5.4408 9.6995
angles (deg): 90.00 90.00 120.00
Closest atoms and distances in Å follow each position.
Positions (direct):
Mg (0.6667, 0.3333, 0.7500)  6 O 2.14
Mg (0.3333, 0.6667, 0.2500)  6 O 2.14
O (0.9970, 0.6660, 0.8686)  1 Mg 2.14, 1 U 2.16, 1 Pa 2.21
O (0.6660, 0.9970, 0.3686)  1 Mg 2.14, 1 U 2.16, 1 Pa 2.21
O (0.0030, 0.3340, 0.1314)  1 Mg 2.14, 1 U 2.16, 1 Pa 2.21
O (0.0030, 0.6691, 0.3686)  1 Mg 2.14, 1 U 2.16, 1 Pa 2.21
O (0.6660, 0.6691, 0.1314)  1 Mg 2.14, 1 U 2.16, 1 Pa 2.21
O (0.9970, 0.3309, 0.6314)  1 Mg 2.14, 1 U 2.16, 1 Pa 2.21
O (0.3340, 0.0030, 0.6314)  1 Mg 2.14, 1 U 2.16, 1 Pa 2.21
O (0.6691, 0.6660, 0.6314)  1 Mg 2.14, 1 U 2.16, 1 Pa 2.21
O (0.3309, 0.9970, 0.1314)  1 Mg 2.14, 1 U 2.16, 1 Pa 2.21
O (0.3340, 0.3309, 0.8686)  1 Mg 2.14, 1 U 2.16, 1 Pa 2.21
O (0.3309, 0.3340, 0.3686)  1 Mg 2.14, 1 U 2.16, 1 Pa 2.21
O (0.6691, 0.0030, 0.8686)  1 Mg 2.14, 1 U 2.16, 1 Pa 2.21
U (0.3333, 0.6667, 0.7500)  6 O 2.16
U (0.6667, 0.3333, 0.2500)  6 O 2.16
Pa (0.0000, 0.0000, 0.0000)  6 O 2.21
Pa (0.0000, 0.0000, 0.5000)  6 O 2.21



no.,ΔE_f (raw) (meV/atom),total energy (eV per atom)
1,-1972,-7.19
2,-2460,-6.94
3,-1328,-5.95
4,-2563,-7.32
5,-2923,-8.23
6,-3228,-9.02